CoPdSO: relaxed, GGA+U.

Values from the calculation:
- offset from the most stable computed form (eV per atom) = 0.157
- volume (Å³/cell) = 448.8
- theoretical density (g/cm³) = 6.3
- raw total energy (eV/atom) = -5.102

extended XYZ file:
```
32
Lattice="6.7829 0.0000 0.0000 0.0000 9.5760 0.0000 0.0000 0.0000 6.9093" Properties=species:S:1:pos:R:3 pbc="T T T"
Co 1.6852 0.5534 0.0382
Co 1.6852 4.2346 3.4928
Co 1.7062 5.3414 0.0382
Co 1.7062 9.0226 3.4928
Co 5.0767 0.5534 3.4165
Co 5.0767 4.2346 6.8711
Co 5.0977 5.3414 3.4165
Co 5.0977 9.0226 6.8711
Pd 0.0116 2.3760 1.7264
Pd 0.0116 2.4120 5.1810
Pd 3.3798 7.1641 1.7264
Pd 3.3798 7.2000 5.1810
Pd 3.4031 2.3760 1.7283
Pd 3.4031 2.4120 5.1829
Pd 6.7713 7.1641 1.7283
Pd 6.7713 7.2000 5.1829
S 0.0136 4.7937 1.7197
S 0.0136 9.5703 5.1743
S 3.3779 0.0057 1.7197
S 3.3779 4.7823 5.1743
S 3.4051 4.7937 1.7349
S 3.4051 9.5703 5.1896
S 6.7693 0.0057 1.7349
S 6.7693 4.7823 5.1896
O 1.6804 7.1767 6.3260
O 1.6804 7.1873 2.8713
O 1.7111 2.3887 6.3260
O 1.7111 2.3993 2.8713
O 5.0719 7.1767 4.0380
O 5.0719 7.1873 0.5833
O 5.1025 2.3887 4.0380
O 5.1025 2.3993 0.5833
```